# 1
Density functional theory data (PBE) for an optimized crystal structure of KIn8Ir2.

The crystal system is monoclinic.

Cell: 5.2661 7.4808 7.4808 Å, 104.61 97.19 97.19°
Element x y z (fractional)
1 In 0.9158 0.9119 0.6573
2 Ir 0.0000 0.7079 0.2921
3 In 0.0842 0.0881 0.3427
4 In 0.5000 0.2792 0.7208
5 In 0.2766 0.6004 0.6004
6 K 0.5000 0.0000 0.0000
7 In 0.0842 0.3427 0.0881
8 In 0.9158 0.6573 0.9119
9 In 0.7234 0.3996 0.3996
10 Ir 0.0000 0.2921 0.7079
11 In 0.5000 0.7208 0.2792

# 2
Density functional theory data (PBE) for an optimized crystal structure of Y2FePdC.

The crystal system is tetragonal.

Cell: 4.9749 4.9749 3.6382 Å, 90.00 90.00 90.00°
Site moments in Bohr magnetons follow the coordinates.
Element x y z (fractional)
1 Y 0.5000 0.0000 0.0000  -0.05
2 Y 0.0000 0.5000 0.0000  -0.05
3 C 0.0000 0.0000 0.0000  -0.02
4 Pd 0.5000 0.5000 0.5000  0.04
5 Fe 0.0000 0.0000 0.5000  0.65

The records above yield M_tot values of 0.0 0.5 μB per formula unit, respectively.
The records above yield electronic total energy values of -3.81 -7.64 eV/atom, respectively.